Record 1
# PBE KSbOs, relaxed
# * E above lowest polymorph: 0.548 eV/atom
# * electronic total energy: -13.6 eV per cell
# * calculated density: 8.7 g cm⁻³
# * formation energy from raw total energies: 965 meV per atom
data_KSbOs
_chemical_formula_sum 'K1 Sb1 Os1'
_cell_length_a 5.162
_cell_length_b 5.162
_cell_length_c 2.888
_cell_angle_alpha 90.00
_cell_angle_beta 90.00
_cell_angle_gamma 120.00
_space_group_name_H-M_alt 'P 1'
_space_group_IT_number 1
loop_
_space_group_symop_operation_xyz
'x,y,z'
loop_
_atom_site_label
_atom_site_type_symbol
_atom_site_fract_x
_atom_site_fract_y
_atom_site_fract_z
_atom_site_occupancy
Os1 Os 0.667 0.333 0.500 1
K1 K 0.000 0.000 0.000 1
Sb1 Sb 0.333 0.667 0.500 1

Record 2
# PBE KSb2TeOs, relaxed
# * E above lowest polymorph: 2.206 eV/atom
# * electronic total energy: -11.4 eV per cell
# * calculated density: 5.7 g cm⁻³
# * formation energy from raw total energies: 2455 meV per atom
data_KSb2TeOs
_chemical_formula_sum 'K1 Sb2 Te1 Os1'
_cell_length_a 5.559
_cell_length_b 5.559
_cell_length_c 5.613
_cell_angle_alpha 90.00
_cell_angle_beta 90.00
_cell_angle_gamma 90.00
_space_group_name_H-M_alt 'P 1'
_space_group_IT_number 1
loop_
_space_group_symop_operation_xyz
'x,y,z'
loop_
_atom_site_label
_atom_site_type_symbol
_atom_site_fract_x
_atom_site_fract_y
_atom_site_fract_z
_atom_site_occupancy
Os1 Os 0.500 0.500 0.500 1
K1 K 0.000 0.000 0.000 1
Sb1 Sb 0.500 0.000 0.000 1
Sb2 Sb 0.000 0.500 0.000 1
Te1 Te 0.000 0.000 0.500 1

Record 3
# PBE KSb2TeOs, relaxed
# * E above lowest polymorph: 0.000 eV/atom
# * electronic total energy: -22.5 eV per cell
# * calculated density: 6.3 g cm⁻³
# * formation energy from raw total energies: 250 meV per atom
data_KSb2TeOs
_chemical_formula_sum 'K1 Sb2 Te1 Os1'
_cell_length_a 5.073
_cell_length_b 5.073
_cell_length_c 6.190
_cell_angle_alpha 90.00
_cell_angle_beta 90.00
_cell_angle_gamma 90.00
_space_group_name_H-M_alt 'P 1'
_space_group_IT_number 1
loop_
_space_group_symop_operation_xyz
'x,y,z'
loop_
_atom_site_label
_atom_site_type_symbol
_atom_site_fract_x
_atom_site_fract_y
_atom_site_fract_z
_atom_site_occupancy
K1 K 0.500 0.500 0.500 1
Sb1 Sb 0.500 0.000 0.000 1
Sb2 Sb 0.000 0.500 0.000 1
Os1 Os 0.000 0.000 0.000 1
Te1 Te 0.000 0.000 0.500 1